## A
Density functional theory data (GGA-PBE) for a relaxed La2TlSb crystal.

## Properties
symmetry	No. 65

abc: 8.1267 5.5653 4.0555
angles: 90.05 59.98 123.22
Last column: nearest neighbours and their distance in Å.
Fractional coordinates of all 4 atoms:
La (0.0000, 0.0000, 0.0000)  4 Sb 3.44, 4 Tl 3.44, 2 La 3.52
La (0.5000, 0.0000, 0.5000)  4 Tl 3.44, 4 Sb 3.44, 2 La 3.52
Sb (0.0000, 0.5000, 0.5000)  8 La 3.44, 2 Tl 3.52
Tl (0.5000, 0.5000, 0.0000)  8 La 3.44, 2 Sb 3.52

***

## B
Density functional theory data (GGA-PBE) for a relaxed La2TlSb crystal.

## Properties
symmetry	No. 123

abc: 4.1309 4.1374 8.3396
angles: 60.26 90.00 90.00
Last column: nearest neighbours and their distance in Å.
Fractional coordinates of all 4 atoms:
Sb (0.5000, 0.2500, 0.2500)  8 La 3.39, 2 Tl 3.62
Tl (0.5000, 0.7500, 0.7500)  8 La 3.49, 2 Sb 3.62
La (0.0000, 0.9877, 0.0125)  4 Sb 3.39, 1 La 3.44, 4 Tl 3.49
La (0.0000, 0.5123, 0.4875)  4 Sb 3.39, 1 La 3.44, 4 Tl 3.49

***

## C
Density functional theory data (GGA-PBE) for a relaxed La2TlSb crystal.

## Properties
symmetry	No. 166

abc: 4.4358 4.4358 8.7124
angles: 75.29 75.29 59.93
Last column: nearest neighbours and their distance in Å.
Fractional coordinates of all 4 atoms:
La (0.0068, 0.0068, 0.9802)  3 Sb 3.20, 3 Tl 3.41
La (0.4932, 0.4932, 0.5198)  3 Sb 3.20, 3 Tl 3.41
Sb (0.7500, 0.7500, 0.7500)  6 La 3.20
Tl (0.2500, 0.2500, 0.2500)  6 La 3.41

***

Energies in meV per atom, measured from the most stable structure: A 32; B 0; C 16.

***

## A
Density functional theory data (GGA-PBE) for a relaxed La4TlSb crystal.

## Properties
symmetry	No. 216

abc: 6.4837 6.4837 6.4837
angles: 60.00 60.00 60.00
Last column: nearest neighbours and their distance in Å.
Fractional coordinates of all 6 atoms:
La (0.8746, 0.3751, 0.3751)  6 La 3.24-3.25
La (0.3751, 0.3751, 0.8746)  6 La 3.24-3.25
La (0.3751, 0.8746, 0.3751)  6 La 3.24-3.25
La (0.3751, 0.3751, 0.3751)  6 La 3.24-3.25
Tl (0.0000, 0.0000, 0.0000)  12 La 3.80, 4 Sb 3.97
Sb (0.7500, 0.7500, 0.7500)  12 La 3.80, 4 Tl 3.97

***

## B
Density functional theory data (GGA-PBE) for a relaxed La4TlSb crystal.

## Properties
symmetry	No. 11

abc: 6.4280 6.8535 9.7011
angles: 90.00 108.96 90.00
Last column: nearest neighbours and their distance in Å.
Fractional coordinates of all 12 atoms:
La (0.5639, 0.2500, 0.3459)  1 Sb 3.22, 3 Tl 3.25-3.47
La (0.4361, 0.7500, 0.6541)  1 Sb 3.22, 3 Tl 3.25-3.47
La (0.6455, 0.2500, 0.9471)  1 Tl 3.21, 4 Sb 3.26-3.57
La (0.3545, 0.7500, 0.0529)  1 Tl 3.21, 4 Sb 3.26-3.57
La (0.0360, 0.9971, 0.2969)  2 Tl 3.39-3.50, 4 La 3.39-3.70, 2 Sb 3.47-3.53
La (0.9640, 0.4971, 0.7031)  2 Tl 3.39-3.50, 4 La 3.39-3.70, 2 Sb 3.47-3.53
La (0.0360, 0.5029, 0.2969)  2 Tl 3.39-3.50, 4 La 3.39-3.70, 2 Sb 3.47-3.53
La (0.9640, 0.0029, 0.7031)  2 Tl 3.39-3.50, 4 La 3.39-3.70, 2 Sb 3.47-3.53
Tl (0.3531, 0.2500, 0.6081)  8 La 3.21-3.50
Tl (0.6469, 0.7500, 0.3919)  8 La 3.21-3.50
Sb (0.1927, 0.2500, 0.0290)  9 La 3.22-3.57
Sb (0.8073, 0.7500, 0.9710)  9 La 3.22-3.57

***

Energies in meV per atom, measured from the most stable structure: A 504; B 0.

***

## A
Density functional theory data (GGA-PBE) for a relaxed LaTm2Sb crystal.

## Properties
symmetry	No. 123

abc: 4.7801 4.8604 4.8604
angles: 90.00 90.00 90.00
Last column: nearest neighbours and their distance in Å.
Fractional coordinates of all 4 atoms:
Sb (0.5000, 0.5000, 0.5000)  8 Tm 3.41, 4 La 3.44
Tm (0.0000, 0.0000, 0.5000)  4 Sb 3.41, 4 La 3.41, 4 Tm 3.44
Tm (0.0000, 0.5000, 0.0000)  4 Sb 3.41, 4 La 3.41, 4 Tm 3.44
La (0.5000, 0.0000, 0.0000)  8 Tm 3.41, 4 Sb 3.44

***

## B
Density functional theory data (GGA-PBE) for a relaxed LaTm2Sb crystal.

## Properties
symmetry	No. 225

abc: 5.3809 5.3809 5.3799
angles: 59.99 59.99 60.00
Last column: nearest neighbours and their distance in Å.
Fractional coordinates of all 4 atoms:
Sb (0.5000, 0.5000, 0.5000)  8 Tm 3.29-3.30
Tm (0.2501, 0.2501, 0.2497)  4 Sb 3.29-3.30, 4 La 3.29-3.30
Tm (0.7499, 0.7499, 0.7503)  4 Sb 3.29-3.30, 4 La 3.29-3.30
La (0.0000, 0.0000, 0.0000)  8 Tm 3.29-3.30

***

Energies in meV per atom, measured from the most stable structure: A 0; B 261.

***

## A
Density functional theory data (GGA-PBE) for a relaxed LaUSb2 crystal.

## Properties
symmetry	No. 123

abc: 3.8076 3.8076 7.7773
angles: 90.00 90.00 90.00
Last column: nearest neighbours and their distance in Å.
Fractional coordinates of all 4 atoms:
Sb (0.0000, 0.0000, 0.7669)  4 U 3.25, 4 La 3.40, 1 Sb 3.63
Sb (0.0000, 0.0000, 0.2331)  4 U 3.25, 4 La 3.40, 1 Sb 3.63
U (0.5000, 0.5000, 0.0000)  8 Sb 3.25
La (0.5000, 0.5000, 0.5000)  8 Sb 3.40

***

## B
Density functional theory data (GGA-PBE) for a relaxed LaUSb2 crystal.

## Properties
symmetry	No. 166

abc: 4.4419 4.4419 7.9576
angles: 73.79 73.79 60.00
Last column: nearest neighbours and their distance in Å.
Fractional coordinates of all 4 atoms:
Sb (0.2545, 0.2545, 0.2365)  3 U 3.12, 3 La 3.24
Sb (0.7455, 0.7455, 0.7635)  3 U 3.12, 3 La 3.24
U (0.0000, 0.0000, 0.0000)  6 Sb 3.12
La (0.5000, 0.5000, 0.5000)  6 Sb 3.24

***

Energies in meV per atom, measured from the most stable structure: A 133; B 0.

***

## A
Density functional theory data (GGA-PBE) for a relaxed LaVSb2 crystal.

## Properties
symmetry	No. 122

abc: 6.2118 6.2118 8.6765
angles: 69.02 69.02 90.00
Last column: nearest neighbours and their distance in Å.
Fractional coordinates of all 8 atoms:
Sb (0.5460, 0.1250, 0.2500)  2 V 2.65
Sb (0.2040, 0.6250, 0.2500)  2 V 2.65
Sb (0.3750, 0.4540, 0.7500)  2 V 2.65
Sb (0.8750, 0.7960, 0.7500)  2 V 2.65
La (0.0000, 0.0000, 0.0000)  4 Sb 3.18
La (0.7500, 0.2500, 0.5000)  4 Sb 3.18
V (0.5000, 0.5000, 0.0000)  4 Sb 2.65
V (0.2500, 0.7500, 0.5000)  4 Sb 2.65

***

## B
Density functional theory data (GGA-PBE) for a relaxed LaVSb2 crystal.

## Properties
symmetry	No. 166

abc: 4.3352 4.3352 7.1175
angles: 72.27 72.27 60.00
Last column: nearest neighbours and their distance in Å.
Fractional coordinates of all 4 atoms:
Sb (0.2677, 0.2677, 0.1968)  3 V 2.83
Sb (0.7323, 0.7323, 0.8032)  3 V 2.83
V (0.0000, 0.0000, 0.0000)  6 Sb 2.83
La (0.5000, 0.5000, 0.5000)  6 Sb 3.22

***

Energies in meV per atom, measured from the most stable structure: A 470; B 0.

***

## A
Density functional theory data (GGA-PBE) for a relaxed LaV3Sb crystal.

## Properties
symmetry	No. 221

abc: 4.6864 4.6864 4.6864
angles: 90.00 90.00 90.00
Last column: nearest neighbours and their distance in Å.
Fractional coordinates of all 5 atoms:
Sb (0.5000, 0.5000, 0.5000)  12 V 3.31
La (0.0000, 0.0000, 0.0000)  6 V 2.34
V (0.0000, 0.5000, 0.0000)  2 La 2.34
V (0.0000, 0.0000, 0.5000)  2 La 2.34
V (0.5000, 0.0000, 0.0000)  2 La 2.34

***

## B
Density functional theory data (GGA-PBE) for a relaxed LaV3Sb crystal.

## Properties
symmetry	No. 221

abc: 5.0559 5.0559 5.0559
angles: 90.00 90.00 90.00
Last column: nearest neighbours and their distance in Å.
Fractional coordinates of all 5 atoms:
Sb (0.0000, 0.0000, 0.0000)  6 V 2.53
La (0.5000, 0.5000, 0.5000)  12 V 3.58
V (0.0000, 0.5000, 0.0000)  2 Sb 2.53
V (0.0000, 0.0000, 0.5000)  2 Sb 2.53
V (0.5000, 0.0000, 0.0000)  2 Sb 2.53

***

Energies in meV per atom, measured from the most stable structure: A 663; B 0.